{
  "formula": "SrInSb2",
  "functional": "PBE",
  "state": "optimized geometry",
  "crystal_system": "orthorhombic",
  "total_magnetization_mub_per_cell": 0.0,
  "energy_ev_per_atom": -3.56,
  "cell": [[7.007, 0.000, 0.000], [0.000, 9.083, 0.000], [0.000, 0.000, 3.784]],
  "species": ["Sr", "Sr", "In", "In", "Sb", "Sb", "Sb", "Sb"],
  "frac_coords": [[0.000, 0.000, 0.000], [0.500, 0.500, 0.000], [0.000, 0.500, 0.000], [0.500, 0.000, 0.000], [0.250, 0.250, 0.500], [0.250, 0.750, 0.500], [0.750, 0.250, 0.500], [0.750, 0.750, 0.500]]
}



{
  "formula": "Tb3TmSc3",
  "functional": "PBE",
  "state": "optimized geometry",
  "de_polymorph_mev_per_atom": 161,
  "crystal_system": "trigonal",
  "delta_e_f_ev_per_atom": 0.19,
  "total_magnetization_mub_per_cell": 0.0,
  "cell": [[4.148, 2.395, 6.945], [-4.148, 2.395, 6.945], [0.000, -4.790, 6.945]],
  "species": ["Tb", "Tb", "Tb", "Tb", "Tb", "Tb", "Tm", "Tm", "Sc", "Sc", "Sc", "Sc", "Sc", "Sc"],
  "frac_coords": [[0.067, 0.219, 0.568], [0.219, 0.568, 0.067], [0.432, 0.933, 0.781], [0.568, 0.067, 0.219], [0.781, 0.432, 0.933], [0.933, 0.781, 0.432], [0.153, 0.153, 0.153], [0.847, 0.847, 0.847], [0.222, 0.438, 0.671], [0.329, 0.778, 0.562], [0.438, 0.671, 0.222], [0.562, 0.329, 0.778], [0.671, 0.222, 0.438], [0.778, 0.562, 0.329]]
}



{
  "formula": "CsPaN",
  "functional": "PBE",
  "state": "optimized geometry",
  "crystal_system": "orthorhombic",
  "total_magnetization_mub_per_cell": 0.0,
  "energy_ev_per_atom": -6.45,
  "cell": [[3.344, 0.000, 0.000], [0.000, 28.156, 0.000], [0.000, 0.000, 3.996]],
  "species": ["Cs", "Cs", "Cs", "Cs", "Pa", "Pa", "Pa", "Pa", "N", "N", "N", "N"],
  "frac_coords": [[0.000, 0.155, 0.250], [0.000, 0.845, 0.750], [0.500, 0.345, 0.750], [0.500, 0.655, 0.250], [0.000, 0.039, 0.750], [0.000, 0.961, 0.250], [0.500, 0.461, 0.250], [0.500, 0.539, 0.750], [0.000, 0.411, 0.250], [0.000, 0.589, 0.750], [0.500, 0.089, 0.750], [0.500, 0.911, 0.250]]
}



{
  "formula": "ZnReO6",
  "functional": "PBE",
  "state": "optimized geometry",
  "crystal_system": "cubic",
  "total_magnetization_mub_per_cell": 3.0,
  "energy_ev_per_atom": -6.15,
  "cell": [[0.000, 3.935, 3.935], [3.935, 0.000, 3.935], [3.935, 3.935, 0.000]],
  "species": ["Zn", "Re", "O", "O", "O", "O", "O", "O"],
  "frac_coords": [[0.000, 0.000, 0.000], [0.500, 0.500, 0.500], [0.263, 0.263, 0.737], [0.263, 0.737, 0.263], [0.263, 0.737, 0.737], [0.737, 0.263, 0.263], [0.737, 0.263, 0.737], [0.737, 0.737, 0.263]]
}



{
  "formula": "SiTc2H2",
  "functional": "PBE",
  "state": "optimized geometry",
  "de_polymorph_mev_per_atom": 85,
  "crystal_system": "tetragonal",
  "total_magnetization_mub_per_cell": 0.0,
  "cell": [[3.590, 0.000, 0.000], [0.000, 3.590, 0.000], [0.000, 0.000, 7.618]],
  "species": ["Si", "Si", "Tc", "Tc", "Tc", "Tc", "H", "H", "H", "H"],
  "frac_coords": [[0.000, 0.000, 0.000], [0.500, 0.500, 0.500], [0.000, 0.000, 0.334], [0.000, 0.000, 0.666], [0.500, 0.500, 0.166], [0.500, 0.500, 0.834], [0.000, 0.500, 0.250], [0.000, 0.500, 0.750], [0.500, 0.000, 0.250], [0.500, 0.000, 0.750]]
}



{
  "formula": "ZrTlNF2",
  "functional": "PBE",
  "state": "optimized geometry",
  "de_polymorph_mev_per_atom": 0,
  "crystal_system": "tetragonal",
  "total_magnetization_mub_per_cell": 0.0,
  "cell": [[4.410, 0.000, 0.000], [0.000, 4.410, 0.000], [0.000, 0.000, 4.225]],
  "species": ["Zr", "Tl", "N", "F", "F"],
  "frac_coords": [[0.000, 0.000, 0.000], [0.500, 0.500, 0.500], [0.000, 0.000, 0.500], [0.000, 0.500, 0.000], [0.500, 0.000, 0.000]]
}



{
  "formula": "SrTc3Os",
  "functional": "PBE",
  "state": "optimized geometry",
  "crystal_system": "cubic",
  "delta_e_f_ev_per_atom": 3.37,
  "total_magnetization_mub_per_cell": 0.0,
  "cell": [[4.604, 0.000, 0.000], [0.000, 4.604, 0.000], [0.000, 0.000, 4.604]],
  "species": ["Sr", "Tc", "Tc", "Tc", "Os"],
  "frac_coords": [[0.000, 0.000, 0.000], [0.000, 0.000, 0.500], [0.000, 0.500, 0.000], [0.500, 0.000, 0.000], [0.500, 0.500, 0.500]]
}



{
  "formula": "Ho4CdRh5",
  "functional": "PBE",
  "state": "optimized geometry",
  "crystal_system": "tetragonal",
  "delta_e_f_ev_per_atom": -0.77,
  "total_magnetization_mub_per_cell": 0.0,
  "cell": [[3.402, 0.000, 0.000], [0.000, 3.402, 0.000], [0.000, 0.000, 16.553]],
  "species": ["Ho", "Ho", "Ho", "Ho", "Cd", "Rh", "Rh", "Rh", "Rh", "Rh"],
  "frac_coords": [[0.000, 0.000, 0.103], [0.000, 0.000, 0.309], [0.000, 0.000, 0.691], [0.000, 0.000, 0.897], [0.000, 0.000, 0.500], [0.500, 0.500, 0.000], [0.500, 0.500, 0.204], [0.500, 0.500, 0.405], [0.500, 0.500, 0.595], [0.500, 0.500, 0.796]]
}



Copy entry 5 word for word.
{
  "formula": "SiTc2H2",
  "functional": "PBE",
  "state": "optimized geometry",
  "de_polymorph_mev_per_atom": 85,
  "crystal_system": "tetragonal",
  "total_magnetization_mub_per_cell": 0.0,
  "cell": [[3.590, 0.000, 0.000], [0.000, 3.590, 0.000], [0.000, 0.000, 7.618]],
  "species": ["Si", "Si", "Tc", "Tc", "Tc", "Tc", "H", "H", "H", "H"],
  "frac_coords": [[0.000, 0.000, 0.000], [0.500, 0.500, 0.500], [0.000, 0.000, 0.334], [0.000, 0.000, 0.666], [0.500, 0.500, 0.166], [0.500, 0.500, 0.834], [0.000, 0.500, 0.250], [0.000, 0.500, 0.750], [0.500, 0.000, 0.250], [0.500, 0.000, 0.750]]
}



Repeat the fourth record exactly.
{
  "formula": "ZnReO6",
  "functional": "PBE",
  "state": "optimized geometry",
  "crystal_system": "cubic",
  "total_magnetization_mub_per_cell": 3.0,
  "energy_ev_per_atom": -6.15,
  "cell": [[0.000, 3.935, 3.935], [3.935, 0.000, 3.935], [3.935, 3.935, 0.000]],
  "species": ["Zn", "Re", "O", "O", "O", "O", "O", "O"],
  "frac_coords": [[0.000, 0.000, 0.000], [0.500, 0.500, 0.500], [0.263, 0.263, 0.737], [0.263, 0.737, 0.263], [0.263, 0.737, 0.737], [0.737, 0.263, 0.263], [0.737, 0.263, 0.737], [0.737, 0.737, 0.263]]
}